This record from the Alexandria database describes Hf6GaPt after structural relaxation. The functional is PBE.

Properties
Formation energy: 40 meV per atom

Cell lengths 6.158, 6.158, 6.165 Å; angles 104.01, 104.01, 120.61 degrees
Fractional coordinates of all 8 atoms:
Hf: 0.003 0.003 0.253
Hf: 0.282 0.706 0.246
Hf: 0.294 0.718 0.754
Hf: 0.706 0.282 0.246
Hf: 0.718 0.294 0.754
Hf: 0.997 0.997 0.747
Ga: 0.500 0.500 0.000
Pt: 0.500 0.500 0.500



This record from the Alexandria database describes Hf3GaPt12 after structural relaxation. The functional is PBE.

Properties
Formation energy: -965 meV per atom

Cell lengths 4.015, 4.015, 16.014 Å; angles 90.00, 90.00, 90.00 degrees
Fractional coordinates of all 16 atoms:
Hf: 0.000 0.000 0.000
Hf: 0.000 0.000 0.255
Hf: 0.000 0.000 0.745
Ga: 0.000 0.000 0.500
Pt: 0.000 0.500 0.126
Pt: 0.000 0.500 0.377
Pt: 0.000 0.500 0.623
Pt: 0.000 0.500 0.874
Pt: 0.500 0.000 0.126
Pt: 0.500 0.000 0.377
Pt: 0.500 0.000 0.623
Pt: 0.500 0.000 0.874
Pt: 0.500 0.500 0.000
Pt: 0.500 0.500 0.252
Pt: 0.500 0.500 0.500
Pt: 0.500 0.500 0.748



This record from the Alexandria database describes Hf8GaPt2 after structural relaxation. The functional is PBE.

Properties
Formation energy: -310 meV per atom

Cell lengths 7.600, 7.600, 4.825 Å; angles 99.63, 99.63, 117.67 degrees
Fractional coordinates of all 11 atoms:
Hf: 0.089 0.314 0.594
Hf: 0.225 0.775 0.000
Hf: 0.314 0.089 0.594
Hf: 0.389 0.389 0.190
Hf: 0.611 0.611 0.810
Hf: 0.686 0.911 0.406
Hf: 0.775 0.225 0.000
Hf: 0.911 0.686 0.406
Ga: 0.000 0.000 0.000
Pt: 0.310 0.690 0.500
Pt: 0.690 0.310 0.500



This record from the Alexandria database describes Hf2GaPt after structural relaxation. The functional is PBE.

Properties
Formation energy: -679 meV per atom

Cell lengths 4.319, 4.319, 3.907 Å; angles 90.00, 90.00, 90.00 degrees
Fractional coordinates of all 4 atoms:
Hf: 0.000 0.500 0.000
Hf: 0.500 0.000 0.000
Ga: 0.000 0.000 0.500
Pt: 0.500 0.500 0.500



This record from the Alexandria database describes Hf2Ga4Pt after structural relaxation. The functional is PBE.

Properties
Relative energy among the computed polymorphs: 0.000 eV/atom
Formation energy: -374 meV per atom

Cell lengths 5.453, 5.453, 5.456 Å; angles 112.04, 112.04, 100.95 degrees
Fractional coordinates of all 7 atoms:
Hf: 0.199 0.801 0.000
Hf: 0.801 0.199 0.000
Ga: 0.275 0.709 0.506
Ga: 0.371 0.371 0.105
Ga: 0.701 0.701 0.033
Ga: 0.709 0.275 0.506
Pt: 0.156 0.156 0.528



This record from the Alexandria database describes HfGa2Pt2 after structural relaxation. The functional is PBE.

Properties
Formation energy: -559 meV per atom

Cell lengths 7.447, 7.447, 3.042 Å; angles 90.00, 90.00, 90.00 degrees
Fractional coordinates of all 10 atoms:
Hf: 0.000 0.000 0.000
Hf: 0.500 0.500 0.000
Ga: 0.159 0.341 0.500
Ga: 0.341 0.841 0.500
Ga: 0.659 0.159 0.500
Ga: 0.841 0.659 0.500
Pt: 0.138 0.638 0.000
Pt: 0.362 0.138 0.000
Pt: 0.638 0.862 0.000
Pt: 0.862 0.362 0.000



This record from the Alexandria database describes Hf2Ga4Pt after structural relaxation. The functional is PBE.

Properties
Relative energy among the computed polymorphs: 0.490 eV/atom
Formation energy: 117 meV per atom

Cell lengths 7.473, 7.473, 7.473 Å; angles 141.82, 141.82, 55.11 degrees
Fractional coordinates of all 7 atoms:
Hf: 0.105 0.105 0.000
Hf: 0.895 0.895 0.000
Ga: 0.000 0.500 0.500
Ga: 0.310 0.310 0.000
Ga: 0.500 0.000 0.500
Ga: 0.690 0.690 0.000
Pt: 0.500 0.500 0.000



This record from the Alexandria database describes Hf2GaPt after structural relaxation. The functional is PBE.

Properties
Formation energy: -679 meV per atom

Cell lengths 3.067, 3.067, 7.780 Å; angles 90.00, 90.00, 90.00 degrees
Fractional coordinates of all 4 atoms:
Hf: 0.000 0.000 0.244
Hf: 0.000 0.000 0.756
Ga: 0.500 0.500 0.500
Pt: 0.500 0.500 0.000



- formation energy of number 1 (Hf6GaPt)?
  40 meV per atom



Please write out number 3 again, unchanged.
This record from the Alexandria database describes Hf8GaPt2 after structural relaxation. The functional is PBE.

Properties
Formation energy: -310 meV per atom

Cell lengths 7.600, 7.600, 4.825 Å; angles 99.63, 99.63, 117.67 degrees
Fractional coordinates of all 11 atoms:
Hf: 0.089 0.314 0.594
Hf: 0.225 0.775 0.000
Hf: 0.314 0.089 0.594
Hf: 0.389 0.389 0.190
Hf: 0.611 0.611 0.810
Hf: 0.686 0.911 0.406
Hf: 0.775 0.225 0.000
Hf: 0.911 0.686 0.406
Ga: 0.000 0.000 0.000
Pt: 0.310 0.690 0.500
Pt: 0.690 0.310 0.500



- Number 4 is which compound?
  Hf2GaPt